No. 1
VASP calculation (PBE) on a relaxed structure of PrSbC.

energy relative to the elements, uncorrected: -0.19 eV per atom
magnetic moment: 0.000 μB per formula unit
space-group type: No. 12
mass density: 6.5 Mg/m³
DOS at the Fermi energy: 2.7 states/eV/cell

Cell: 4.0458 5.3599 8.3673 Å, 120.49 90.00 112.17°
Element x y z (fractional)
Pr 0.0752 0.1503 0.8050
Pr 0.9248 0.8497 0.1950
Sb 0.3362 0.6725 0.4467
Sb 0.6638 0.3275 0.5533
C 0.5719 0.1438 0.0171
C 0.4281 0.8562 0.9829

---

No. 2
VASP calculation (PBE) on a relaxed structure of Ca3Tl3WS8.

energy relative to the elements, uncorrected: -1.01 eV per atom
magnetic moment: 0.000 μB per formula unit
space-group type: No. 12
mass density: 5.0 Mg/m³
DOS at the Fermi energy: 3.2 states/eV/cell

Cell: 8.0656 8.0441 8.3198 Å, 118.61 90.02 120.10°
Element x y z (fractional)
Ca 0.5000 0.0000 0.5000
Ca 0.5000 0.5000 0.5000
Ca 0.0000 0.5000 0.5000
Tl 0.0000 0.0000 0.0000
Tl 0.0000 0.5000 0.0000
Tl 0.5000 0.5000 0.0000
W 0.0000 0.0000 0.5000
S 0.2622 0.5246 0.2871
S 0.7378 0.4754 0.7129
S 0.7910 0.5817 0.2966
S 0.2090 0.4183 0.7034
S 0.7909 0.0053 0.2951
S 0.2091 0.9947 0.7049
S 0.2144 0.0056 0.2954
S 0.7856 0.9944 0.7046

---

No. 3
VASP calculation (PBE) on a relaxed structure of Sm4PuSe5.

energy relative to the elements, uncorrected: -1.78 eV per atom
magnetic moment: 5.703 μB per formula unit
space-group type: No. 87
mass density: 8.1 Mg/m³
DOS at the Fermi energy: 10.5 states/eV/cell
E above lowest polymorph: 0 meV/atom

Cell: 5.8914 7.2161 7.2161 Å, 80.41 65.91 65.91°
Site moments in Bohr magnetons follow the coordinates.
Element x y z (fractional)
Sm 0.4038 0.3965 0.7979  0.01
Sm 0.8004 0.7979 0.6035  0.01
Sm 0.2017 0.2021 0.3965  0.01
Sm 0.5982 0.6035 0.2021  0.01
Pu 0.0010 0.0000 0.0000  5.43
Se 0.9018 0.3970 0.8015  -0.02
Se 0.2988 0.8015 0.6030  -0.02
Se 0.7033 0.1985 0.3970  -0.02
Se 0.1003 0.6030 0.1985  -0.02
Se 0.5010 0.0000 0.0000  -0.03

---

No. 4
VASP calculation (PBE) on a relaxed structure of Ca2Zn5Rh2Au.

magnetic moment: 0.000 μB per formula unit
space-group type: No. 127
mass density: 7.4 Mg/m³
ΔE_f: -0.35 eV/atom
DOS at the Fermi energy: 9.1 states/eV/cell

Cell: 3.7941 9.8049 9.8049 Å, 90.00 90.00 90.00°
Element x y z (fractional)
Ca 0.0000 0.6750 0.1750
Ca 0.0000 0.3250 0.8250
Ca 0.0000 0.1750 0.3250
Ca 0.0000 0.8250 0.6750
Zn 0.5000 0.2002 0.0613
Zn 0.5000 0.7998 0.9387
Zn 0.5000 0.0613 0.7998
Zn 0.5000 0.7002 0.4387
Zn 0.5000 0.9387 0.2002
Zn 0.5000 0.2998 0.5613
Zn 0.5000 0.5613 0.7002
Zn 0.5000 0.4387 0.2998
Zn 0.5000 0.5000 0.0000
Zn 0.5000 0.0000 0.5000
Rh 0.0000 0.1230 0.6230
Rh 0.0000 0.8770 0.3770
Rh 0.0000 0.6230 0.8770
Rh 0.0000 0.3770 0.1230
Au 0.0000 0.0000 0.0000
Au 0.0000 0.5000 0.5000

---

No. 5
VASP calculation (PBE) on a relaxed structure of CaTl2P.

magnetic moment: 0.000 μB per formula unit
space-group type: No. 99
mass density: 6.6 Mg/m³
ΔE_f: -0.28 eV/atom
DOS at the Fermi energy: 2.3 states/eV/cell
E above lowest polymorph: 96 meV/atom

Cell: 3.9627 3.9644 7.6603 Å, 90.00 90.00 90.00°
Element x y z (fractional)
Ca 0.0000 0.0000 0.5834
P 0.5000 0.5000 0.6299
Tl 0.0000 0.0000 0.0107
Tl 0.5000 0.5000 0.2760

---

No. 6
VASP calculation (PBE) on a relaxed structure of NiHg2.

magnetic moment: 0.001 μB per formula unit
space-group type: No. 227
mass density: 12.2 Mg/m³
ΔE_f: 0.79 eV/atom
DOS at the Fermi energy: 4.9 states/eV/cell

Cell: 5.6152 5.6152 5.6152 Å, 60.00 60.00 60.00°
Element x y z (fractional)
Ni 0.0000 0.0000 0.0000
Ni 0.2500 0.2500 0.2500
Hg 0.6250 0.6250 0.6250
Hg 0.1250 0.6250 0.6250
Hg 0.6250 0.1250 0.6250
Hg 0.6250 0.6250 0.1250

---

No. 7
VASP calculation (PBE) on a relaxed structure of TiAsBr3.

energy relative to the elements, uncorrected: 0.53 eV per atom
magnetic moment: 0.285 μB per formula unit
space-group type: No. 221
mass density: 3.9 Mg/m³
DOS at the Fermi energy: 21.6 states/eV/cell
E above lowest polymorph: 743 meV/atom

Cell: 5.3615 5.3615 5.3615 Å, 90.00 90.00 90.00°
Site moments in Bohr magnetons follow the coordinates.
Element x y z (fractional)
As 0.0000 0.0000 0.0000  0.01
Br 0.0000 0.5000 0.0000  -0.01
Br 0.0000 0.0000 0.5000  -0.01
Br 0.5000 0.0000 0.0000  0.00
Ti 0.5000 0.5000 0.5000  0.19

---

No. 8
VASP calculation (PBE) on a relaxed structure of ErTaSb.

energy relative to the elements, uncorrected: -0.53 eV per atom
magnetic moment: 0.000 μB per formula unit
space-group type: No. 129
mass density: 11.3 Mg/m³
DOS at the Fermi energy: 3.1 states/eV/cell

Cell: 4.1224 4.1224 8.0926 Å, 90.00 90.00 90.00°
Element x y z (fractional)
Er 0.0000 0.5000 0.8580
Er 0.5000 0.0000 0.1420
Sb 0.0000 0.5000 0.2443
Sb 0.5000 0.0000 0.7557
Ta 0.5000 0.5000 0.5000
Ta 0.0000 0.0000 0.5000